Record 1
SrLa2Cu (PBE, relaxed); size of the total moment = 0.00 μB/f.u.; distance to the lowest polymorph of the same formula = 143 meV/atom; SG = I-42d (122)
1.0
-4.507 4.507 3.398
4.507 -4.507 3.398
4.507 4.507 -3.398
Sr La Cu
2 4 2
direct
0.000 0.000 0.000
0.750 0.250 0.500
0.194 0.125 0.569
0.375 0.806 0.931
0.556 0.625 0.431
0.875 0.444 0.069
0.250 0.750 0.500
0.500 0.500 0.000

***

Record 2
SrPmBi2 (PBE, relaxed); size of the total moment = 0.00 μB/f.u.; distance to the lowest polymorph of the same formula = 86 meV/atom; SG = R3m (160)
1.0
2.420 1.397 7.559
-2.420 1.397 7.559
0.000 -2.794 7.559
Sr Pm Bi
1 1 2
direct
0.000 0.000 0.000
0.173 0.173 0.173
0.426 0.426 0.426
0.579 0.579 0.579

***

no.,E_tot (eV per atom)
1,-3.763
2,-4.260